8
Lattice="5.010 0.000 0.000 0.000 5.010 0.000 0.000 0.000 9.957" Properties=species:S:1:pos:R:3 comment="GGA-PBE TbHo6Th, optimized geometry" energy_ev_per_atom=-4.91 polymorph_energy_ev_per_fu=0.00 delta_e_f_ev_per_atom=0.03 sg=P4/mmm pbc="T T T"
Ho 2.505 2.505 4.978
Th 0.000 0.000 4.978
Ho 2.505 2.505 0.000
Ho 2.505 0.000 7.448
Ho 0.000 2.505 2.509
Tb 0.000 0.000 0.000
Ho 2.505 0.000 2.509
Ho 0.000 2.505 7.448